First-principles (PBE with a Hubbard U) data for a relaxed structure of Na2CoGeO4, as listed in the Alexandria database.

The structure in extended XYZ format:
```
16
Lattice="-1.240 -5.257 -3.116 4.917 -2.668 2.755 -4.466 2.768 3.463" Properties=species:S:1:pos:R:3 pbc="T T T"
O -1.559 -3.293 3.034
O -1.116 -0.694 1.530
O 0.066 -4.805 -1.793
O 0.770 -1.863 0.068
O -0.856 -0.351 4.895
O 0.943 -1.918 2.749
O -1.733 -3.238 0.353
O 0.326 -4.462 1.572
Na -2.853 -1.244 0.173
Na -2.233 1.384 1.732
Na 1.838 -3.962 -0.181
Na -0.620 -2.628 -1.558
Ge 0.451 0.101 6.218
Ge -0.395 -2.578 1.551
Co 2.458 -1.334 1.377
Co -1.015 -5.206 -0.007
```

## Properties
DFT total energy: -88.759 eV/cell